Record 1
Pm4BiPb2 (PBE, optimized geometry); V = 447.6 Å³ per cell; SG = I-42d, No. 122; total DFT energy (no corrections) = -4.99 eV/atom; total magnetic moment = 0.000 Bohr magnetons per cell
1.0
8.268 -1.126 -0.166
-1.718 8.166 0.164
-3.153 -3.631 6.822
Pm Bi Pb
8 2 4
Direct
0.873 0.265 0.250
0.234 0.485 0.107
0.015 0.623 0.750
0.735 0.984 0.607
0.377 0.128 0.393
0.378 0.127 0.893
0.515 0.623 0.750
0.873 0.765 0.250
0.250 0.750 0.500
0.000 0.000 0.000
0.752 0.375 0.876
0.498 0.875 0.124
0.625 0.501 0.376
0.125 0.249 0.624

***

Record 2
Er3Cd2Hg6 (PBE, optimized geometry); V = 287.3 Å³ per cell; SG = I4/mmm, No. 139; total DFT energy (no corrections) = -1.72 eV/atom; total magnetic moment = 0.000 Bohr magnetons per cell
1.0
-4.129 -0.741 0.181
0.411 -2.998 -2.911
4.352 -9.170 13.086
Er Cd Hg
3 2 6
Direct
0.000 0.000 0.000
0.822 0.822 0.643
0.178 0.178 0.357
0.362 0.362 0.723
0.638 0.638 0.277
0.070 0.570 0.141
0.570 0.070 0.141
0.930 0.430 0.859
0.430 0.930 0.859
0.728 0.728 0.455
0.272 0.272 0.545

***

Record 3
Ce2Ho5Al4 (PBE, optimized geometry); V = 360.6 Å³ per cell; SG = Immm, No. 71; total DFT energy (no corrections) = -4.02 eV/atom; total magnetic moment = 1.914 Bohr magnetons per cell
1.0
3.207 0.000 0.000
0.000 7.318 0.000
-1.603 -3.659 15.366
Ce Ho Al
2 5 4
Direct
0.912 0.912 0.824
0.088 0.088 0.176
0.180 0.433 0.361
0.820 0.567 0.639
0.180 0.928 0.361
0.500 0.000 0.000
0.820 0.072 0.639
0.742 0.742 0.485
0.000 0.329 0.000
0.258 0.258 0.515
0.000 0.671 0.000

***

Record 4
Ac2TbPr (PBE, optimized geometry); V = 156.9 Å³ per cell; SG = R3m, No. 160; total DFT energy (no corrections) = -4.36 eV/atom; total magnetic moment = 0.000 Bohr magnetons per cell; excess energy over the best structure of this formula in the dataset = 0.015 eV/atom
1.0
-2.571 0.262 -2.841
1.165 -0.085 -3.659
-1.622 -12.169 -2.248
Ac Tb Pr
2 1 1
Direct
0.082 0.082 0.754
0.252 0.252 0.245
0.667 0.667 0.998
0.499 0.499 0.503

***

Record 5
Pm3TmIn2 (PBE, optimized geometry); V = 354.3 Å³ per cell; SG = Cmmm, No. 65; total DFT energy (no corrections) = -4.35 eV/atom; total magnetic moment = 0.000 Bohr magnetons per cell; excess energy over the best structure of this formula in the dataset = 0.038 eV/atom
1.0
-0.805 4.905 0.539
-9.008 -1.520 0.377
5.359 -2.464 7.239
Pm Tm In
6 2 4
Direct
0.500 0.250 0.000
0.500 0.750 0.000
0.827 0.077 0.654
0.173 0.423 0.346
0.173 0.923 0.346
0.827 0.577 0.654
0.000 0.500 0.000
0.000 0.000 0.000
0.346 0.346 0.692
0.654 0.154 0.308
0.346 0.846 0.692
0.654 0.654 0.308

***

Record 6
BeInCu2 (PBE, optimized geometry); V = 55.8 Å³ per cell; SG = P2/m, No. 10; total DFT energy (no corrections) = -3.48 eV/atom; total magnetic moment = 0.000 Bohr magnetons per cell; excess energy over the best structure of this formula in the dataset = 0.126 eV/atom
1.0
3.782 0.000 0.000
0.000 2.850 0.031
0.000 1.680 5.193
Be Cu In
1 2 1
Direct
0.500 0.750 0.750
0.000 0.910 0.955
0.000 0.590 0.545
0.500 0.250 0.250